Entry 1:
This record from Alexandria describes a relaxed Mg5Ga3I12 crystal. The functional is PBE.

a = 16.0060 Å, b = 16.0060 Å, c = 16.0060 Å
α = 109.47°, β = 109.47°, γ = 109.47°
Atoms (fractional coordinates):
Mg  0.0000  0.0000  0.0000
Mg  0.0000  0.0000  0.5000
Mg  0.0000  0.5000  0.0000
Mg  0.0000  0.5000  0.5000
Mg  0.1250  0.7500  0.8750
Mg  0.1250  0.8750  0.2500
Mg  0.2500  0.1250  0.8750
Mg  0.2500  0.6250  0.3750
Mg  0.3750  0.2500  0.6250
Mg  0.3750  0.6250  0.7500
Mg  0.5000  0.0000  0.0000
Mg  0.5000  0.0000  0.5000
Mg  0.5000  0.5000  0.0000
Mg  0.5000  0.5000  0.5000
Mg  0.6250  0.3750  0.2500
Mg  0.6250  0.7500  0.3750
Mg  0.7500  0.3750  0.6250
Mg  0.7500  0.8750  0.1250
Mg  0.8750  0.1250  0.7500
Mg  0.8750  0.2500  0.1250
Ga  0.1250  0.2500  0.3750
Ga  0.1250  0.3750  0.7500
Ga  0.2500  0.3750  0.1250
Ga  0.2500  0.8750  0.6250
Ga  0.3750  0.1250  0.2500
Ga  0.3750  0.7500  0.1250
Ga  0.6250  0.2500  0.8750
Ga  0.6250  0.8750  0.7500
Ga  0.7500  0.1250  0.3750
Ga  0.7500  0.6250  0.8750
Ga  0.8750  0.6250  0.2500
Ga  0.8750  0.7500  0.6250
I  0.0283  0.2076  0.1201
I  0.0283  0.3207  0.9082
I  0.0875  0.7076  0.6793
I  0.0875  0.8799  0.4082
I  0.0918  0.6201  0.4125
I  0.0918  0.9717  0.6793
I  0.1201  0.0283  0.2076
I  0.1201  0.5918  0.9125
I  0.1793  0.2076  0.5875
I  0.1793  0.4717  0.5918
I  0.2076  0.1201  0.0283
I  0.2076  0.5875  0.1793
I  0.2924  0.3207  0.9125
I  0.2924  0.4717  0.3799
I  0.3207  0.9082  0.0283
I  0.3207  0.9125  0.2924
I  0.3799  0.2924  0.4717
I  0.3799  0.5875  0.9082
I  0.4082  0.0875  0.8799
I  0.4082  0.8207  0.5283
I  0.4125  0.0918  0.6201
I  0.4125  0.8207  0.7924
I  0.4717  0.3799  0.2924
I  0.4717  0.5918  0.1793
I  0.5283  0.4082  0.8207
I  0.5283  0.6201  0.7076
I  0.5875  0.1793  0.2076
I  0.5875  0.9082  0.3799
I  0.5918  0.1793  0.4717
I  0.5918  0.9125  0.1201
I  0.6201  0.4125  0.0918
I  0.6201  0.7076  0.5283
I  0.6793  0.0875  0.7076
I  0.6793  0.0918  0.9717
I  0.7076  0.5283  0.6201
I  0.7076  0.6793  0.0875
I  0.7924  0.4125  0.8207
I  0.7924  0.8799  0.9717
I  0.8207  0.5283  0.4082
I  0.8207  0.7924  0.4125
I  0.8799  0.4082  0.0875
I  0.8799  0.9717  0.7924
I  0.9082  0.0283  0.3207
I  0.9082  0.3799  0.5875
I  0.9125  0.1201  0.5918
I  0.9125  0.2924  0.3207
I  0.9717  0.6793  0.0918
I  0.9717  0.7924  0.8799

Computed properties:
Formation energy (no corrections) in kJ/mol of formula units: -1329.1
Space group: No. 230



Entry 2:
This record from Alexandria describes a relaxed La2Sm3Se8 crystal. The functional is PBE.

a = 8.5200 Å, b = 8.5200 Å, c = 7.1850 Å
α = 107.00°, β = 107.00°, γ = 60.28°
Atoms (fractional coordinates):
La  0.2368  0.2368  0.1568
La  0.7632  0.7632  0.8432
Sm  0.2376  0.7624  0.5000
Sm  0.5000  0.5000  0.0000
Sm  0.7624  0.2376  0.5000
Se  0.1237  0.1237  0.4310
Se  0.1454  0.6115  0.0874
Se  0.3844  0.3844  0.5746
Se  0.3885  0.8546  0.9126
Se  0.6115  0.1454  0.0874
Se  0.6156  0.6156  0.4254
Se  0.8546  0.3885  0.9126
Se  0.8763  0.8763  0.5690

Computed properties:
Formation energy (no corrections) in kJ/mol of formula units: -2221.1
Space group: No. 12



Entry 3:
This record from Alexandria describes a relaxed KBeCBr crystal. The functional is PBE.

a = 3.3631 Å, b = 5.0409 Å, c = 5.3590 Å
α = 104.93°, β = 91.40°, γ = 107.24°
Atoms (fractional coordinates):
K  0.0000  0.0000  0.0000
Be  0.0554  0.3238  0.5687
C  0.5236  0.2517  0.5636
Br  0.3928  0.7740  0.4548

Computed properties:
Offset from the most stable computed form in eV/f.u.: 0.00
Formation energy (no corrections) in kJ/mol of formula units: 113.3
Space group: No. 1



Entry 4:
This record from Alexandria describes a relaxed PrHo5Er crystal. The functional is PBE.

a = 6.5040 Å, b = 6.5040 Å, c = 11.4221 Å
α = 103.42°, β = 103.42°, γ = 95.55°
Atoms (fractional coordinates):
Pr  0.0000  0.5000  0.0000
Pr  0.5000  0.0000  0.5000
Ho  0.0673  0.2730  0.5352
Ho  0.0832  0.9168  0.2500
Ho  0.2730  0.0673  0.0352
Ho  0.3018  0.4472  0.3330
Ho  0.4472  0.3018  0.8330
Ho  0.5528  0.6982  0.1670
Ho  0.6982  0.5528  0.6670
Ho  0.7270  0.9327  0.9648
Ho  0.9168  0.0832  0.7500
Ho  0.9327  0.7270  0.4648
Er  0.2602  0.7398  0.7500
Er  0.7398  0.2602  0.2500

Computed properties:
Offset from the most stable computed form in eV/f.u.: 0.00
Space group: No. 15
Formation energy in meV/atom: 104



Entry 5:
This record from Alexandria describes a relaxed Rb2CrNiSe4 crystal. The functional is PBE.

a = 14.1314 Å, b = 12.5676 Å, c = 7.5323 Å
α = 85.46°, β = 62.44°, γ = 32.10°
Atoms (fractional coordinates):
Rb  0.0538  0.0538  0.6962
Rb  0.3038  0.3038  0.9462
Rb  0.6962  0.6962  0.0538
Rb  0.9462  0.9462  0.3038
Cr  0.1250  0.1250  0.1250
Cr  0.8750  0.8750  0.8750
Ni  0.3750  0.3750  0.3750
Ni  0.6250  0.6250  0.6250
Se  0.0321  0.3255  0.4054
Se  0.2630  0.5946  0.6745
Se  0.3255  0.0321  0.7370
Se  0.4054  0.7370  0.0321
Se  0.5946  0.2630  0.9679
Se  0.6745  0.9679  0.2630
Se  0.7370  0.4054  0.3255
Se  0.9679  0.6745  0.5946

Computed properties:
Formation energy (no corrections) in kJ/mol of formula units: -587.2
Space group: No. 70



Entry 6:
This record from Alexandria describes a relaxed PrMg2Sn crystal. The functional is PBE.

a = 4.6227 Å, b = 4.6227 Å, c = 4.8608 Å
α = 90.00°, β = 90.00°, γ = 90.00°
Atoms (fractional coordinates):
Pr  0.0000  0.0000  0.0000
Mg  0.0000  0.5000  0.5000
Mg  0.5000  0.0000  0.5000
Sn  0.5000  0.5000  0.0000

Computed properties:
Offset from the most stable computed form in eV/f.u.: 0.00
Space group: No. 123
Formation energy in meV/atom: -432



Quick rundown of V, same order as above: 39.46, 32.79, 20.83, 32.24, 29.45, 25.97 Å³/atom
Quick rundown of total energy, same order as above: -2.47, -5.76, -3.64, -4.50, -4.67, -3.43 eV/atom